{
  "formula": "VNiS4",
  "functional": "PBE-GGA",
  "state": "optimized geometry",
  "total_energy_ev_per_atom": -5.68,
  "spacegroup": "No. 14",
  "formation_energy_uncorrected_mev_per_atom": -446.1,
  "total_magnetization_mub_per_cell": 2.178,
  "lattice_angstrom": [[5.714, 0.000, 0.000], [0.000, 5.734, 0.000], [-0.014, 0.000, 5.736]],
  "species": ["V", "V", "Ni", "Ni", "S", "S", "S", "S", "S", "S", "S", "S"],
  "frac_coords": [[0.000, 0.000, 0.000], [0.000, 0.500, 0.500], [0.500, 0.000, 0.500], [0.500, 0.500, 0.000], [0.109, 0.109, 0.392], [0.109, 0.391, 0.892], [0.391, 0.607, 0.392], [0.391, 0.893, 0.892], [0.609, 0.107, 0.108], [0.609, 0.393, 0.608], [0.891, 0.609, 0.108], [0.891, 0.891, 0.608]]
}